1.
Compound: NdGdNiGe
Source: the Alexandria database
Functional: GGA-PBE
Structure: optimized geometry

Unit cell a=5.037 b=5.037 c=5.037 alpha=60.00 beta=60.00 gamma=60.00
Fractional coordinates of all 4 atoms:
Nd 0.000 0.000 0.000
Gd 0.500 0.500 0.500
Ni 0.750 0.750 0.750
Ge 0.250 0.250 0.250

Results
The space group is F-43m, No. 216.

2.
Compound: NdGdTlGe
Source: the Alexandria database
Functional: GGA-PBE
Structure: optimized geometry

Unit cell a=5.323 b=5.323 c=5.323 alpha=60.00 beta=60.00 gamma=60.00
Fractional coordinates of all 4 atoms:
Nd 0.000 0.000 0.000
Gd 0.500 0.500 0.500
Tl 0.250 0.250 0.250
Ge 0.750 0.750 0.750

Results
The space group is F-43m, No. 216.

3.
Compound: NdGdZnGe
Source: the Alexandria database
Functional: GGA-PBE
Structure: optimized geometry

Unit cell a=5.136 b=5.136 c=5.136 alpha=60.00 beta=60.00 gamma=60.00
Fractional coordinates of all 4 atoms:
Nd 0.000 0.000 0.000
Gd 0.500 0.500 0.500
Zn 0.250 0.250 0.250
Ge 0.750 0.750 0.750

Results
The space group is F-43m, No. 216.

| no. | formation energy from the elements (eV/atom) | density (g/cm3) |
| --- | --- | --- |
| 1 | -0.48 | 7.95 |
| 2 | -0.45 | 9.01 |
| 3 | -0.52 | 7.62 |